# InCuTeSe

A geometry-optimized InCuTeSe structure (GGA-PBE, Alexandria).

## Properties
D(E_F) = 0.09 states/eV per atom
Relative energy among the computed polymorphs = 0 meV/atom
Total moment = 0.000 μB per atom
Crystal system = orthorhombic
Space group = I2_12_12_1, No. 24

a = 7.4714 Å, b = 7.4714 Å, c = 7.4714 Å
α = 132.07°, β = 131.81°, γ = 70.33°
Closest atoms and distances in Å follow each position.
Atoms (fractional coordinates):
1 In 0.1190 0.3690 0.7500  2 Se 2.70, 2 Te 2.83
2 In 0.3810 0.1310 0.2500  2 Se 2.70, 2 Te 2.83
3 Cu 0.6127 0.8627 0.7500  2 Se 2.46, 2 Te 2.60
4 Cu 0.8873 0.6373 0.2500  2 Se 2.46, 2 Te 2.60
5 Te 0.5397 0.2500 0.7897  2 Cu 2.60, 2 In 2.83
6 Te 0.9603 0.7500 0.7103  2 Cu 2.60, 2 In 2.83
7 Se 0.2500 0.5271 0.2771  2 Cu 2.46, 2 In 2.70
8 Se 0.7500 0.9729 0.2229  2 Cu 2.46, 2 In 2.70